# Cu2HgPb PBE relaxed
# - VASP energy (Ry per atom) = -0.21098
# - total magnetic moment (μB per atom) = 0.00
# - volume (Å³/atom) = 19.81
data_Cu2HgPb
_chemical_formula_sum 'Cu2 Hg1 Pb1'
_space_group_name_H-M_alt 'P 4 m m'
_space_group_IT_number 99
_cell_length_a 3.3108
_cell_length_b 3.3108
_cell_length_c 7.2297
_cell_angle_alpha 90.00
_cell_angle_beta 90.00
_cell_angle_gamma 90.00
loop_
_space_group_symop_operation_xyz
'x,y,z'
'-y,x,z'
'-x,-y,z'
'y,-x,z'
'-x,y,z'
'y,x,z'
'x,-y,z'
'-y,-x,z'
loop_
_atom_site_label
_atom_site_type_symbol
_atom_site_fract_x
_atom_site_fract_y
_atom_site_fract_z
_atom_site_occupancy
Cu1 Cu 0.0000 0.0000 0.0000 1
Cu2 Cu 0.5000 0.5000 0.1429 1
Hg1 Hg 0.0000 0.0000 0.3789 1
Pb1 Pb 0.5000 0.5000 0.7403 1